1.
First-principles (PBE) data for an optimized crystal structure of Sc2NbGa, as listed in Alexandria via LeMat-Bulk.

E_tot: -25.0 eV per cell
theoretical density: 4.720 Mg/m³
density of states at the Fermi level: 5.7 states/eV/cell

Geometry as POSCAR:
```
Sc2NbGa
1.0
1.564 0.903 10.483
-1.564 0.903 10.483
0.000 -1.806 10.483
Sc Nb Ga
2 1 1
direct
0.091 0.091 0.091
0.909 0.909 0.909
0.500 0.500 0.500
0.000 0.000 0.000
```

***

2.
First-principles (PBE) data for an optimized crystal structure of ScNbGa, as listed in Alexandria via LeMat-Bulk.

energy relative to the lowest polymorph listed for this composition: 248 meV/atom
theoretical density: 5.528 Mg/m³
density of states at the Fermi level: 5.9 states/eV/cell

Geometry as POSCAR:
```
ScNbGa
1.0
-1.697 1.697 10.827
1.697 -1.697 10.827
1.697 1.697 -10.827
Sc Nb Ga
2 2 2
direct
0.074 0.074 0.000
0.926 0.926 0.000
0.216 0.216 0.000
0.784 0.784 0.000
0.350 0.350 0.000
0.650 0.650 0.000
```

***

> Which value of density of states at the Fermi level does entry 1 give?

5.7 states/eV/cell

***

> Among the records above, which one has the lowest density of states at the Fermi level?

Sc2NbGa

***

> Number 1 is which compound?

Sc2NbGa